NpInNi4 | PBE | optimized geometry

abc: 4.9855 4.9855 4.9855
angles: 60.00 60.00 60.00
Last column: nearest neighbours and their distance in Å.
Sites, in units of the cell vectors:
Ni: 0.6256 0.6256 0.1233  6 Ni 2.48-2.50
Np: 0.2500 0.2500 0.2500  12 Ni 2.92, 4 In 3.05
In: 0.0000 0.0000 0.0000  12 Ni 2.92, 4 Np 3.05
Ni: 0.6256 0.6256 0.6256  6 Ni 2.48-2.50
Ni: 0.1233 0.6256 0.6256  6 Ni 2.48-2.50
Ni: 0.6256 0.1233 0.6256  6 Ni 2.48-2.50

VASP energy (eV per atom): -6.476

=====

NpIn2Ni9 | PBE | optimized geometry

abc: 8.3976 8.3976 8.3976
angles: 33.90 33.90 33.90
Last column: nearest neighbours and their distance in Å.
Sites, in units of the cell vectors:
Ni: 0.9187 0.4154 0.4154  7 Ni 2.43-2.46
Ni: 0.0813 0.5846 0.5846  7 Ni 2.43-2.46
Ni: 0.5846 0.5846 0.0813  7 Ni 2.43-2.46
In: 0.8594 0.8594 0.8594  12 Ni 2.80-2.95, 3 In 3.09
Ni: 0.5000 0.5000 0.5000  6 Ni 2.43
Np: 0.0000 0.0000 0.0000  18 Ni 2.83-3.15
Ni: 0.4154 0.4154 0.9187  7 Ni 2.43-2.46
Ni: 0.3337 0.3337 0.3337  6 Ni 2.43
Ni: 0.5846 0.0813 0.5846  7 Ni 2.43-2.46
Ni: 0.6663 0.6663 0.6663  6 Ni 2.43
In: 0.1406 0.1406 0.1406  12 Ni 2.80-2.95, 3 In 3.09
Ni: 0.4154 0.9187 0.4154  7 Ni 2.43-2.46

VASP energy (eV per atom): -5.795

=====

NpInNi | PBE | optimized geometry

abc: 4.5853 4.5853 4.5853
angles: 60.00 60.00 60.00
Last column: nearest neighbours and their distance in Å.
Sites, in units of the cell vectors:
In: 0.0000 0.0000 0.0000  4 Ni 2.81
Ni: 0.2500 0.2500 0.2500  4 In 2.81, 4 Np 2.81
Np: 0.5000 0.5000 0.5000  4 Ni 2.81

VASP energy (eV per atom): -6.909

=====

InNiOs2 | PBE | optimized geometry

abc: 4.3904 4.3904 4.3904
angles: 60.00 60.00 60.00
Last column: nearest neighbours and their distance in Å.
Sites, in units of the cell vectors:
Os: 0.0000 0.0000 0.0000  4 Os 2.69, 4 Ni 2.69
In: 0.5000 0.5000 0.5000  4 Ni 2.69, 4 Os 2.69
Os: 0.7500 0.7500 0.7500  4 In 2.69, 4 Os 2.69
Ni: 0.2500 0.2500 0.2500  4 In 2.69, 4 Os 2.69

VASP energy (eV per atom): -7.190

=====

TaInNiOs | PBE | optimized geometry

abc: 4.4920 4.4920 4.4920
angles: 60.00 60.00 60.00
Last column: nearest neighbours and their distance in Å.
Sites, in units of the cell vectors:
In: 0.0000 0.0000 0.0000  4 Ni 2.75, 4 Ta 2.75
Ni: 0.7500 0.7500 0.7500  4 In 2.75, 4 Os 2.75
Os: 0.5000 0.5000 0.5000  4 Ta 2.75, 4 Ni 2.75
Ta: 0.2500 0.2500 0.2500  4 Os 2.75, 4 In 2.75

VASP energy (eV per atom): -7.565

=====

InTcNiOs | PBE | optimized geometry

abc: 4.3889 4.3889 4.3889
angles: 60.00 60.00 60.00
Last column: nearest neighbours and their distance in Å.
Sites, in units of the cell vectors:
Tc: 0.2500 0.2500 0.2500  4 Os 2.69, 4 In 2.69
Ni: 0.7500 0.7500 0.7500  4 Os 2.69, 4 In 2.69
In: 0.0000 0.0000 0.0000  4 Ni 2.69, 4 Tc 2.69
Os: 0.5000 0.5000 0.5000  4 Tc 2.69, 4 Ni 2.69

VASP energy (eV per atom): -7.138

=====

In2Ni21P6 | PBE | optimized geometry

abc: 7.8404 7.8404 7.8404
angles: 120.00 90.00 120.00
Last column: nearest neighbours and their distance in Å.
Sites, in units of the cell vectors:
Ni: 0.6523 0.6523 0.0000  2 P 2.16, 1 Ni 2.39
Ni: 0.6151 0.2303 0.3849  3 P 2.26
In: 0.7500 0.5000 0.2500  4 Ni 2.59
Ni: 0.6523 0.6523 0.6523  2 P 2.16, 1 Ni 2.39
Ni: 0.0000 0.0000 0.3477  2 P 2.16, 1 Ni 2.39
Ni: 0.0000 0.0000 0.6523  2 P 2.16, 1 Ni 2.39
Ni: 0.3477 0.3477 0.0000  2 P 2.16, 1 Ni 2.39
Ni: 0.6523 0.0000 0.0000  2 P 2.16, 1 Ni 2.39
P: 0.2625 0.5249 0.2625  8 Ni 2.16-2.26
Ni: 0.8454 0.2303 0.6151  3 P 2.26
P: 0.2625 0.0000 0.2625  8 Ni 2.16-2.26
In: 0.2500 0.5000 0.7500  4 Ni 2.59
Ni: 0.1546 0.7697 0.3849  3 P 2.26
P: 0.7375 0.4751 0.7375  8 Ni 2.16-2.26
P: 0.7375 0.0000 0.2625  8 Ni 2.16-2.26
Ni: 0.0000 0.0000 0.0000  12 Ni 2.73, 6 P 2.91
Ni: 0.3849 0.7697 0.1546  3 P 2.26
Ni: 0.0000 0.3477 0.0000  2 P 2.16, 1 Ni 2.39
Ni: 0.0000 0.6523 0.6523  2 P 2.16, 1 Ni 2.39
Ni: 0.3849 0.7697 0.6151  3 P 2.26
Ni: 0.0000 0.3477 0.3477  2 P 2.16, 1 Ni 2.39
P: 0.2625 0.0000 0.7375  8 Ni 2.16-2.26
Ni: 0.3477 0.0000 0.0000  2 P 2.16, 1 Ni 2.39
Ni: 0.6151 0.7697 0.3849  3 P 2.26
Ni: 0.0000 0.6523 0.0000  2 P 2.16, 1 Ni 2.39
Ni: 0.6151 0.2303 0.8454  3 P 2.26
Ni: 0.3477 0.3477 0.3477  2 P 2.16, 1 Ni 2.39
Ni: 0.3849 0.2303 0.6151  3 P 2.26
P: 0.7375 0.0000 0.7375  8 Ni 2.16-2.26

VASP energy (eV per atom): -5.761

=====

InNi3Pb5 | PBE | optimized geometry

abc: 5.4601 5.4601 8.2029
angles: 90.00 90.00 120.00
Last column: nearest neighbours and their distance in Å.
Sites, in units of the cell vectors:
Ni: 0.5000 0.5000 0.5000  4 Ni 2.73, 6 Pb 2.73-2.82
Pb: 0.3333 0.6667 0.7845  3 Ni 2.82, 3 Pb 3.15
Ni: 0.5000 0.0000 0.5000  6 Pb 2.73-2.82, 4 Ni 2.73
In: 0.0000 0.0000 0.0000  12 Pb 3.61
Pb: 0.3333 0.6667 0.2155  3 Ni 2.82, 3 Pb 3.15
Ni: 0.0000 0.5000 0.5000  4 Ni 2.73, 6 Pb 2.73-2.82
Pb: 0.6667 0.3333 0.2155  3 Ni 2.82, 3 Pb 3.15
Pb: 0.0000 0.0000 0.5000  6 Ni 2.73
Pb: 0.6667 0.3333 0.7845  3 Ni 2.82, 3 Pb 3.15

VASP energy (eV per atom): -4.129

=====

no.,spin magnetization (μB per formula unit)
1,3.2
2,0.5
3,3.1
4,0.3
5,0.4
6,0.0
7,0.0
8,0.0